# 1
DFT (GGA-PBE) results for a geometry-optimized RbCu3Cl structure.

Its size of the total moment is 0.000 μB/atom. The value obtained for the total DFT energy (no corrections) is -2.26 eV/atom. For the energy above the most stable polymorph in this dataset, the calculation gives 0.00 eV/f.u.

It has space group Pm-3m (No. 221), with a = 4.955 Å, b = 4.955 Å, c = 4.955 Å, α = 90.00°, β = 90.00° and γ = 90.00°. The distinct sites, in fractional coordinates, are Rb at (0.000, 0.000, 0.000), Cu at (0.000, 0.500, 0.500) and Cl at (0.500, 0.500, 0.500).



# 2
DFT (GGA-PBE) results for a geometry-optimized RbCu4Cl8 structure.

Its size of the total moment is 0.235 μB/atom. The value obtained for the total DFT energy (no corrections) is -3.15 eV/atom. For the energy above the most stable polymorph in this dataset, the calculation gives 0.65 eV/f.u.

It has space group R-3m (No. 166, hexagonal axes), with a = 7.1775 Å, b = 7.1775 Å, c = 23.8300 Å, α = 90.00°, β = 90.00° and γ = 120.00°. The distinct sites, in fractional coordinates, are Rb at (0.0000, 0.0000, 0.0000), Cu at (0.0000, 0.0000, 0.5000), Cu at (0.0000, 0.5000, 0.5000), Cl at (0.0000, 0.0000, 0.2208) and Cl at (0.0027, 0.5014, 0.2238).



# 3
DFT (GGA-PBE) results for a geometry-optimized RbCu2Cl4 structure.

Its size of the total moment is 0.153 μB/atom. The value obtained for the total DFT energy (no corrections) is -3.29 eV/atom. For the energy above the most stable polymorph in this dataset, the calculation gives 0.00 eV/f.u.

It has space group I4/m (No. 87), with a = 8.182 Å, b = 8.182 Å, c = 5.870 Å, α = 90.00°, β = 90.00° and γ = 90.00°. The distinct sites, in fractional coordinates, are Rb at (0.000, 0.000, 0.000), Cu at (0.000, 0.500, 0.250) and Cl at (0.123, 0.680, 0.500).



# 4
DFT (GGA-PBE) results for a geometry-optimized Rb2CuCl4 structure.

Its size of the total moment is 0.133 μB/atom. The value obtained for the total DFT energy (no corrections) is -3.25 eV/atom.

It has space group I4/mmm (No. 139), with a = 5.008 Å, b = 5.008 Å, c = 15.969 Å, α = 90.00°, β = 90.00° and γ = 90.00°. The distinct sites, in fractional coordinates, are Rb at (0.000, 0.000, 0.140), Cu at (0.000, 0.000, 0.500), Cl at (0.000, 0.000, 0.351) and Cl at (0.000, 0.500, 0.000).



# 5
DFT (GGA-PBE) results for a geometry-optimized Rb3CuCl4 structure.

Its size of the total moment is 0.009 μB/atom. The value obtained for the total DFT energy (no corrections) is -3.28 eV/atom. For the energy above the most stable polymorph in this dataset, the calculation gives 0.32 eV/f.u.

It has space group Pmn2_1 (No. 31), with a = 10.648 Å, b = 8.406 Å, c = 6.669 Å, α = 90.00°, β = 90.00° and γ = 90.00°. The distinct sites, in fractional coordinates, are Rb at (0.000, 0.099, 0.000), Rb at (0.224, 0.336, 0.504), Cu at (0.000, 0.801, 0.439), Cl at (0.000, 0.085, 0.502), Cl at (0.000, 0.732, 0.093) and Cl at (0.209, 0.721, 0.526).



# 6
DFT (GGA-PBE) results for a geometry-optimized RbCuCl2 structure.

Its size of the total moment is 0.000 μB/atom. The value obtained for the total DFT energy (no corrections) is -3.34 eV/atom. For the energy above the most stable polymorph in this dataset, the calculation gives 0.21 eV/f.u.

It has space group I-42d (No. 122), with a = 7.337 Å, b = 7.337 Å, c = 8.003 Å, α = 90.00°, β = 90.00° and γ = 90.00°. The distinct sites, in fractional coordinates, are Rb at (0.000, 0.000, 0.000), Cu at (0.000, 0.000, 0.500) and Cl at (0.148, 0.250, 0.625).



# 7
DFT (GGA-PBE) results for a geometry-optimized RbCuCl3 structure.

Its size of the total moment is 0.201 μB/atom. The value obtained for the total DFT energy (no corrections) is -3.22 eV/atom.

It has space group C2/c (No. 15), with a = 12.314 Å, b = 7.030 Å, c = 12.863 Å, α = 90.00°, β = 92.46° and γ = 90.00°. The distinct sites, in fractional coordinates, are Rb at (0.167, 0.029, 0.373), Cu at (0.000, 0.439, 0.750), Cu at (0.000, 0.500, 0.000), Cl at (0.070, 0.323, 0.144), Cl at (0.086, 0.212, 0.655) and Cl at (0.161, 0.474, 0.921).



# 8
DFT (GGA-PBE) results for a geometry-optimized Rb2Cu2Cl structure.

Its size of the total moment is 0.000 μB/atom. The value obtained for the total DFT energy (no corrections) is -2.48 eV/atom. For the energy above the most stable polymorph in this dataset, the calculation gives 1.86 eV/f.u.

It has space group P4/mbm (No. 127), with a = 8.987 Å, b = 8.987 Å, c = 4.859 Å, α = 90.00°, β = 90.00° and γ = 90.00°. The distinct sites, in fractional coordinates, are Rb at (0.197, 0.303, 0.000), Cu at (0.091, 0.591, 0.500) and Cl at (0.000, 0.000, 0.000).



# 9
DFT (GGA-PBE) results for a geometry-optimized RbCu4Cl8 structure.

Its size of the total moment is 0.221 μB/atom. The value obtained for the total DFT energy (no corrections) is -3.20 eV/atom. For the energy above the most stable polymorph in this dataset, the calculation gives 0.00 eV/f.u.

It has space group P-31m (No. 162), with a = 6.4951 Å, b = 6.4951 Å, c = 9.4771 Å, α = 90.00°, β = 90.00° and γ = 120.00°. The distinct sites, in fractional coordinates, are Rb at (0.0000, 0.0000, 0.0000), Cu at (0.3333, 0.6667, 0.2453), Cl at (0.0000, 0.3312, 0.6923) and Cl at (0.3333, 0.6667, 0.0000).



# 10
DFT (GGA-PBE) results for a geometry-optimized RbCu7Cl12 structure.

Its size of the total moment is 0.195 μB/atom. The value obtained for the total DFT energy (no corrections) is -3.19 eV/atom.

It has space group Im-3 (No. 204), with a = 9.295 Å, b = 9.295 Å, c = 9.295 Å, α = 90.00°, β = 90.00° and γ = 90.00°. The distinct sites, in fractional coordinates, are Rb at (0.000, 0.000, 0.000), Cu at (0.000, 0.000, 0.500), Cu at (0.250, 0.250, 0.250) and Cl at (0.000, 0.318, 0.176).



# 11
DFT (GGA-PBE) results for a geometry-optimized Rb2CuCl4 structure.

Its size of the total moment is 0.144 μB/atom. The value obtained for the total DFT energy (no corrections) is -3.26 eV/atom.

It has space group Cmce (No. 64), with a = 15.756 Å, b = 7.297 Å, c = 7.296 Å, α = 90.00°, β = 90.00° and γ = 90.00°. The distinct sites, in fractional coordinates, are Rb at (0.138, 0.000, 0.000), Cu at (0.000, 0.000, 0.500), Cl at (0.000, 0.222, 0.278) and Cl at (0.151, 0.000, 0.500).



# 12
DFT (GGA-PBE) results for a geometry-optimized Rb2CuCl3 structure.

Its size of the total moment is 0.019 μB/atom. The value obtained for the total DFT energy (no corrections) is -3.36 eV/atom. For the energy above the most stable polymorph in this dataset, the calculation gives 0.07 eV/f.u.

It has space group Pnma (No. 62), with a = 9.393 Å, b = 4.336 Å, c = 17.735 Å, α = 90.00°, β = 90.00° and γ = 90.00°. The distinct sites, in fractional coordinates, are Rb at (0.087, 0.250, 0.211), Rb at (0.236, 0.750, 0.451), Cu at (0.140, 0.250, 0.636), Cl at (0.026, 0.750, 0.608), Cl at (0.146, 0.750, 0.071) and Cl at (0.172, 0.250, 0.768).



# 13
DFT (GGA-PBE) results for a geometry-optimized Rb2Cu3Cl8 structure.

Its size of the total moment is 0.000 μB/atom. The value obtained for the total DFT energy (no corrections) is -3.13 eV/atom. For the energy above the most stable polymorph in this dataset, the calculation gives 0.17 eV/f.u.

It has space group P4/mmm (No. 123), with a = 4.741 Å, b = 4.741 Å, c = 14.576 Å, α = 90.00°, β = 90.00° and γ = 90.00°. The distinct sites, in fractional coordinates, are Rb at (0.000, 0.000, 0.183), Cu at (0.500, 0.500, 0.000), Cu at (0.500, 0.500, 0.339), Cl at (0.000, 0.500, 0.000), Cl at (0.000, 0.500, 0.354) and Cl at (0.500, 0.500, 0.167).



# 14
DFT (GGA-PBE) results for a geometry-optimized Rb2CuCl7 structure.

Its size of the total moment is 0.000 μB/atom. The value obtained for the total DFT energy (no corrections) is -2.77 eV/atom. For the energy above the most stable polymorph in this dataset, the calculation gives 0.84 eV/f.u.

It has space group I4/mmm (No. 139), with a = 7.668 Å, b = 7.668 Å, c = 9.094 Å, α = 90.00°, β = 90.00° and γ = 90.00°. The distinct sites, in fractional coordinates, are Rb at (0.000, 0.500, 0.250), Cu at (0.000, 0.000, 0.000), Cl at (0.000, 0.000, 0.258), Cl at (0.000, 0.000, 0.500) and Cl at (0.212, 0.212, 0.000).



# 15
DFT (GGA-PBE) results for a geometry-optimized Rb2CuCl5 structure.

Its size of the total moment is 0.000 μB/atom. The value obtained for the total DFT energy (no corrections) is -3.09 eV/atom. For the energy above the most stable polymorph in this dataset, the calculation gives 0.00 eV/f.u.

It has space group I4mm (No. 107), with a = 7.231 Å, b = 7.231 Å, c = 9.341 Å, α = 90.00°, β = 90.00° and γ = 90.00°. The distinct sites, in fractional coordinates, are Rb at (0.000, 0.500, 0.000), Cu at (0.000, 0.000, 0.225), Cl at (0.000, 0.000, 0.946) and Cl at (0.217, 0.217, 0.255).



# 16
DFT (GGA-PBE) results for a geometry-optimized RbCu4Cl6 structure.

Its size of the total moment is 0.092 μB/atom. The value obtained for the total DFT energy (no corrections) is -3.34 eV/atom.

It has space group C2 (No. 5), with a = 11.299 Å, b = 9.205 Å, c = 6.853 Å, α = 90.00°, β = 115.80° and γ = 90.00°. The distinct sites, in fractional coordinates, are Rb at (0.000, 0.000, 0.000), Cu at (0.107, 0.499, 0.856), Cu at (0.129, 0.724, 0.637), Cl at (0.000, 0.629, 0.000), Cl at (0.000, 0.915, 0.500), Cl at (0.179, 0.496, 0.599) and Cl at (0.187, 0.291, 0.052).



# 17
DFT (GGA-PBE) results for a geometry-optimized RbCu2Cl6 structure.

Its size of the total moment is 0.343 μB/atom. The value obtained for the total DFT energy (no corrections) is -2.89 eV/atom. For the energy above the most stable polymorph in this dataset, the calculation gives 0.62 eV/f.u.

It has space group R3 (No. 146, hexagonal axes), with a = 6.7873 Å, b = 6.7873 Å, c = 23.2972 Å, α = 90.00°, β = 90.00° and γ = 120.00°. The distinct sites, in fractional coordinates, are Rb at (0.0000, 0.0000, 0.0000), Cu at (0.0000, 0.0000, 0.2449), Cu at (0.0000, 0.0000, 0.4303), Cl at (0.0626, 0.3401, 0.4248) and Cl at (0.0792, 0.7336, 0.2486).



# 18
DFT (GGA-PBE) results for a geometry-optimized RbCu3Cl8 structure.

Its size of the total moment is 0.000 μB/atom. The value obtained for the total DFT energy (no corrections) is -2.98 eV/atom.

It has space group P-3 (No. 147), with a = 6.3685 Å, b = 6.3685 Å, c = 8.9354 Å, α = 90.00°, β = 90.00° and γ = 120.00°. The distinct sites, in fractional coordinates, are Rb at (0.0000, 0.0000, 0.0000), Cu at (0.0000, 0.0000, 0.5000), Cu at (0.3333, 0.6667, 0.7210), Cl at (0.0175, 0.7105, 0.6576) and Cl at (0.3333, 0.6667, 0.9672).



# 19
DFT (GGA-PBE) results for a geometry-optimized Rb2CuCl3 structure.

Its size of the total moment is 0.018 μB/atom. The value obtained for the total DFT energy (no corrections) is -3.37 eV/atom. For the energy above the most stable polymorph in this dataset, the calculation gives 0.02 eV/f.u.

It has space group Pnma (No. 62), with a = 12.762 Å, b = 4.280 Å, c = 13.084 Å, α = 90.00°, β = 90.00° and γ = 90.00°. The distinct sites, in fractional coordinates, are Rb at (0.012, 0.250, 0.174), Rb at (0.173, 0.250, 0.526), Cu at (0.244, 0.750, 0.309), Cl at (0.067, 0.750, 0.360), Cl at (0.140, 0.250, 0.947) and Cl at (0.229, 0.750, 0.724).



# 20
DFT (GGA-PBE) results for a geometry-optimized RbCuCl2 structure.

Its size of the total moment is 0.000 μB/atom. The value obtained for the total DFT energy (no corrections) is -2.88 eV/atom. For the energy above the most stable polymorph in this dataset, the calculation gives 2.08 eV/f.u.

It has space group Fm-3m (No. 225), with a = 7.304 Å, b = 7.304 Å, c = 7.304 Å, α = 90.00°, β = 90.00° and γ = 90.00°. The distinct sites, in fractional coordinates, are Rb at (0.000, 0.000, 0.000), Cu at (0.000, 0.000, 0.500) and Cl at (0.250, 0.250, 0.250).



Ordered ΔE_f (raw) results: 0.757, -0.677, -0.924, -1.334, -1.481, -1.154, -1.095, -0.084, -0.727, -0.599, -1.346, -1.431, -0.897, -0.869, -1.179, -0.751, -0.640, -0.643, -1.440, -0.688; unit eV per atom.